The following is a PBE calculation of crystalline Hf5ZrAs4 at its relaxed geometry, from Alexandria via LeMat-Bulk.

abc: 16.132 3.684 7.649
angles: 90.00 109.00 90.00
Space group C2/m (No. 12)
One atom of each set of equivalent atoms:
Hf1 0.000 0.000 0.000 x2
Hf2 0.153 0.500 0.315 x4
Hf3 0.194 0.500 0.843 x4
Zr1 0.000 0.000 0.500 x2
As1 0.022 0.500 0.770 x4
As2 0.173 0.000 0.578 x4

## Properties
The value obtained for the total energy is -8.312 eV per atom. As for the size of the total moment: 0.00 Bohr magnetons per cell. As for the density of states at the Fermi level: 0.5087 states/eV/atom. The formation energy comes out at -6.20 eV/f.u.